# 1
First-principles (PBE with a Hubbard U) data for SrMn2CrO4 after structural relaxation, as listed in Alexandria via LeMat-Bulk. Values from VASP.

Geometry as Quantum ESPRESSO input:
```
&SYSTEM
  ibrav = 0, nat = 8, ntyp = 4
/
ATOMIC_SPECIES
Sr 87.62 Sr.upf
Mn 54.94 Mn.upf
Cr 52.00 Cr.upf
O 16.00 O.upf
CELL_PARAMETERS angstrom
-2.5330 2.7360 4.4072
2.5330 -2.7360 4.4072
2.5330 2.7360 -4.4072
ATOMIC_POSITIONS crystal
Sr 0.0000 0.0000 0.0000
Mn 0.2587 0.7587 0.5000
Mn 0.7413 0.2413 0.5000
Cr 0.5000 0.5000 0.0000
O 0.1259 0.1461 0.5595
O 0.4133 0.8539 0.9797
O 0.5867 0.5664 0.4405
O 0.8741 0.4336 0.0203
```

As for the crystal system: orthorhombic. As for the density of states at the Fermi level: 0.1306 states/eV per atom. The density is 4.26 g cm⁻³. The total energy comes out at -57.72 eV/cell.


# 2
First-principles (PBE with a Hubbard U) data for Sr3Mn2CrO6 after structural relaxation, as listed in Alexandria via LeMat-Bulk. Values from VASP.

Geometry as Quantum ESPRESSO input:
```
&SYSTEM
  ibrav = 0, nat = 12, ntyp = 4
/
ATOMIC_SPECIES
Sr 87.62 Sr.upf
Mn 54.94 Mn.upf
Cr 52.00 Cr.upf
O 16.00 O.upf
CELL_PARAMETERS angstrom
5.8018 0.0000 0.0000
-2.9009 5.0245 0.0000
0.0000 0.0000 6.5119
ATOMIC_POSITIONS crystal
Sr 0.0000 0.0000 0.0000
Sr 0.3333 0.6667 0.6179
Sr 0.6667 0.3333 0.3821
Mn 0.3333 0.6667 0.1576
Mn 0.6667 0.3333 0.8424
Cr 0.0000 0.0000 0.5000
O 0.1626 0.3252 0.3108
O 0.1626 0.8374 0.3108
O 0.3252 0.1626 0.6892
O 0.6748 0.8374 0.3108
O 0.8374 0.1626 0.6892
O 0.8374 0.6748 0.6892
```

As for the crystal system: trigonal. As for the density of states at the Fermi level: 0.1539 states/eV per atom. The density is 4.55 g cm⁻³. The total energy comes out at -80.83 eV/cell.


# 3
First-principles (PBE with a Hubbard U) data for TaMnCr2O8 after structural relaxation, as listed in Alexandria via LeMat-Bulk. Values from VASP.

Geometry as Quantum ESPRESSO input:
```
&SYSTEM
  ibrav = 0, nat = 12, ntyp = 4
/
ATOMIC_SPECIES
Ta 180.95 Ta.upf
Mn 54.94 Mn.upf
Cr 52.00 Cr.upf
O 16.00 O.upf
CELL_PARAMETERS angstrom
3.2433 -3.2783 0.0000
3.2433 3.2783 0.0000
0.0000 0.0000 6.0290
ATOMIC_POSITIONS crystal
Ta 0.0000 0.0000 0.0000
Mn 0.0000 0.0000 0.5000
Cr 0.5000 0.5000 0.2553
Cr 0.5000 0.5000 0.7447
O 0.1942 0.8058 0.2536
O 0.1942 0.8058 0.7464
O 0.3013 0.3013 0.5000
O 0.3072 0.3072 0.0000
O 0.6928 0.6928 0.0000
O 0.6987 0.6987 0.5000
O 0.8058 0.1942 0.2536
O 0.8058 0.1942 0.7464
```

As for the crystal system: orthorhombic. As for the density of states at the Fermi level: 0.3150 states/eV per atom. The density is 6.06 g cm⁻³. The total energy comes out at -97.33 eV/cell.


# 4
First-principles (PBE with a Hubbard U) data for Mn2CrTeO6 after structural relaxation, as listed in Alexandria via LeMat-Bulk. Values from VASP.

Geometry as Quantum ESPRESSO input:
```
&SYSTEM
  ibrav = 0, nat = 10, ntyp = 4
/
ATOMIC_SPECIES
Mn 54.94 Mn.upf
Cr 52.00 Cr.upf
Te 127.60 Te.upf
O 16.00 O.upf
CELL_PARAMETERS angstrom
5.2432 0.0000 0.0000
2.4613 4.7266 0.0000
2.4170 1.6796 4.8530
ATOMIC_POSITIONS crystal
Mn 0.0000 0.0000 0.0000
Mn 0.4995 0.4678 0.5552
Cr 0.7017 0.6876 0.9245
Te 0.2309 0.1787 0.3858
O 0.0778 0.3889 0.7461
O 0.3115 0.8837 0.1913
O 0.4299 0.8130 0.6821
O 0.6031 0.2979 0.2034
O 0.8042 0.0625 0.7311
O 0.9035 0.6299 0.1868
```

As for the crystal system: triclinic. The density is 5.32 g cm⁻³. The total energy comes out at -69.78 eV/cell.


# 5
First-principles (PBE with a Hubbard U) data for MnCrTe2O8 after structural relaxation, as listed in Alexandria via LeMat-Bulk. Values from VASP.

Geometry as Quantum ESPRESSO input:
```
&SYSTEM
  ibrav = 0, nat = 12, ntyp = 4
/
ATOMIC_SPECIES
Mn 54.94 Mn.upf
Cr 52.00 Cr.upf
Te 127.60 Te.upf
O 16.00 O.upf
CELL_PARAMETERS angstrom
-3.5168 3.5168 3.3605
3.5168 -3.5168 3.3605
3.5168 3.5168 -3.3605
ATOMIC_POSITIONS crystal
Mn 0.0000 0.0000 0.0000
Cr 0.2500 0.7500 0.5000
Te 0.5000 0.5000 0.0000
Te 0.7500 0.2500 0.5000
O 0.3154 0.1188 0.8034
O 0.3154 0.5121 0.1966
O 0.3716 0.0695 0.3021
O 0.4879 0.6846 0.8034
O 0.7674 0.0695 0.6979
O 0.8812 0.6846 0.1966
O 0.9305 0.2326 0.3021
O 0.9305 0.6284 0.6979
```

As for the crystal system: tetragonal. As for the density of states at the Fermi level: 0.1367 states/eV per atom. The density is 4.90 g cm⁻³. The total energy comes out at -72.74 eV/cell.


# 6
First-principles (PBE with a Hubbard U) data for ThMn3Cr4O12 after structural relaxation, as listed in Alexandria via LeMat-Bulk. Values from VASP.

Geometry as Quantum ESPRESSO input:
```
&SYSTEM
  ibrav = 0, nat = 20, ntyp = 4
/
ATOMIC_SPECIES
Th 232.04 Th.upf
Mn 54.94 Mn.upf
Cr 52.00 Cr.upf
O 16.00 O.upf
CELL_PARAMETERS angstrom
-3.7805 3.7805 3.7805
3.7805 -3.7805 3.7805
3.7805 3.7805 -3.7805
ATOMIC_POSITIONS crystal
Th 0.0000 0.0000 0.0000
Mn 0.0000 0.5000 0.5000
Mn 0.5000 0.0000 0.5000
Mn 0.5000 0.5000 0.0000
Cr 0.0000 0.0000 0.5000
Cr 0.0000 0.5000 0.0000
Cr 0.5000 0.0000 0.0000
Cr 0.5000 0.5000 0.5000
O 0.1234 0.2989 0.8246
O 0.1754 0.4743 0.2989
O 0.1754 0.8766 0.7011
O 0.2989 0.1754 0.4743
O 0.2989 0.8246 0.1234
O 0.4743 0.2989 0.1754
O 0.5257 0.7011 0.8246
O 0.7011 0.1754 0.8766
O 0.7011 0.8246 0.5257
O 0.8246 0.1234 0.2989
O 0.8246 0.5257 0.7011
O 0.8766 0.7011 0.1754
```

As for the crystal system: cubic. As for the density of states at the Fermi level: 0.3754 states/eV per atom. The density is 6.12 g cm⁻³. The total energy comes out at -161.18 eV/cell.